Density functional theory data (PBE-GGA) for a relaxed Cs2SrSbBr6 crystal.

Geometry as POSCAR:
```
Cs2SrSbBr6
1.0
-4.1262 4.1262 6.5212
4.1262 -4.1262 6.5212
4.1262 4.1262 -6.5212
Cs Sr Sb Br
2 1 1 6
Direct
0.2500 0.7500 0.5000
0.7500 0.2500 0.5000
0.0000 0.0000 0.0000
0.5000 0.5000 0.0000
0.2288 0.2288 0.0000
0.2594 0.2594 0.5189
0.2594 0.7406 0.0000
0.7406 0.2594 0.0000
0.7406 0.7406 0.4811
0.7712 0.7712 0.0000
```

## Properties
**Magnetic moment**: 1.0 μB/cell
**Electronic total energy**: -3.166 eV per atom
**Formation energy from raw total energies**: -1.411 eV/atom
**SG**: I4/mmm
**Theoretical density**: 3.57 g/cm3